Tb2ThHg8 | PBE | optimized geometry

Output
ρ = 12.71 g/cm3
energy of formation = -5.95 kcal/mol of atoms
V = 281.4 Å³/cell
magnetic moment = 0.00 μB per cell
E_tot = -1.994 eV per atom
space group = No. 71

Structure (CIF):
```
data_Tb2ThHg8
_chemical_formula_sum 'Tb2 Th1 Hg8'
_symmetry_space_group_name_H-M 'P 1'
_symmetry_Int_Tables_number 1
_symmetry_space_group_name_Hall 'P 1'
_cell_length_a 5.1165
_cell_length_b 7.4735
_cell_length_c 8.6409
_cell_angle_alpha 115.62
_cell_angle_beta 107.22
_cell_angle_gamma 90.00
loop_
_atom_site_label
_atom_site_fract_x
_atom_site_fract_y
_atom_site_fract_z
_atom_site_occupancy
Hg1 0.1579 0.1579 0.3159 1
Hg2 0.0000 0.7072 0.0000 1
Hg3 0.0000 0.2928 0.0000 1
Th1 0.5000 0.0000 0.0000 1
Hg4 0.3485 0.1368 0.6970 1
Hg5 0.3485 0.5602 0.6970 1
Hg6 0.6515 0.8632 0.3030 1
Tb1 0.8093 0.3093 0.6187 1
Hg7 0.8421 0.8421 0.6841 1
Tb2 0.1907 0.6907 0.3813 1
Hg8 0.6515 0.4398 0.3030 1
```